Entry 1:
Material: Pm3Zn4Ir2
Method: DFT, PBE-GGA
State: optimized geometry

Properties
Fermi-level density of states: 5.5 states/eV/f.u.
ρ: 9.5 g/cm³
SG: C2/m, No. 12
energy of formation from the pure elements: -0.516 eV/atom

Structure (extended XYZ):
```
9
Lattice="5.568 -2.151 0.000 5.568 2.151 0.000 -3.375 0.000 7.917" Properties=species:S:1:pos:R:3 pbc="T T T"
Pm 0.000 0.000 0.000
Pm 2.295 0.000 2.819
Pm 5.466 0.000 5.098
Zn -0.912 0.000 2.927
Zn -0.046 0.000 7.507
Zn 7.807 0.000 0.410
Zn 8.673 0.000 4.990
Ir 1.930 0.000 5.809
Ir 5.831 0.000 2.108
```

=====

Entry 2:
Material: Pm2Zn3Ir
Method: DFT, PBE-GGA
State: optimized geometry

Properties
Fermi-level density of states: 3.5 states/eV/f.u.
polymorph energy (0 for the lowest one): 1.27 kJ per mole of atoms
ρ: 8.9 g/cm³
SG: Fmmm, No. 69
energy of formation from the pure elements: -0.465 eV/atom

Structure (extended XYZ):
```
12
Lattice="0.000 4.460 7.652 3.718 0.000 7.652 3.718 4.460 0.000" Properties=species:S:1:pos:R:3 pbc="T T T"
Pm 5.649 4.460 7.652
Pm 1.859 2.230 3.826
Pm 5.578 6.690 11.478
Pm 1.788 4.460 7.652
Zn 3.718 2.248 6.380
Zn 3.718 4.460 5.078
Zn 3.718 2.248 8.924
Zn 3.718 6.672 6.380
Zn 3.718 4.460 10.226
Zn 3.718 6.672 8.924
Ir 3.718 4.460 2.490
Ir 3.718 4.460 12.814
```

=====

Entry 3:
Material: PmZn6Ir4
Method: DFT, PBE-GGA
State: optimized geometry

Properties
Fermi-level density of states: 9.6 states/eV/f.u.
ρ: 10.6 g/cm³
SG: I-42m, No. 121
energy of formation from the pure elements: -0.077 eV/atom

Structure (extended XYZ):
```
11
Lattice="-3.297 3.297 4.729 3.297 -3.297 4.729 3.297 3.297 -4.729" Properties=species:S:1:pos:R:3 pbc="T T T"
Pm 0.000 0.000 0.000
Zn 3.297 0.000 0.000
Zn 1.236 -1.236 2.783
Zn -1.236 1.236 2.783
Zn 0.000 3.297 0.000
Zn 2.060 2.060 1.945
Zn 1.236 1.236 6.674
Ir 2.170 2.170 -0.711
Ir 1.127 -1.127 5.439
Ir 1.127 1.127 4.018
Ir -1.127 1.127 5.439
```